#a
First-principles (PBEsol) data for a geometry-optimized Si2SbBr structure, as listed in Alexandria via LeMat-Bulk.

Output
- Crystal system: trigonal

a = 4.0418 Å, b = 4.0418 Å, c = 19.7314 Å
α = 90.00°, β = 90.00°, γ = 120.00°
Closest atoms and distances in Å follow each position.
Space group R-3m (No. 166, hexagonal axes)
Inequivalent atoms, fractional coordinates:
Si 0.0000 0.0000 0.2415  3 Sb 2.76, 3 Br 2.95
Sb 0.0000 0.0000 0.5000  6 Si 2.76
Br 0.0000 0.0000 0.0000  6 Si 2.95

#b
First-principles (PBEsol) data for a geometry-optimized Si2SbBr structure, as listed in Alexandria via LeMat-Bulk.

Output
- Crystal system: orthorhombic

a = 3.1881 Å, b = 5.0665 Å, c = 5.1391 Å
α = 90.00°, β = 90.00°, γ = 90.00°
Closest atoms and distances in Å follow each position.
Space group Pmmm (No. 47)
Inequivalent atoms, fractional coordinates:
Si 0.0000 0.0000 0.0000  6 Si 2.99-3.19, 4 Br 3.02
Si 0.5000 0.5000 0.0000  6 Si 2.99-3.19, 4 Sb 3.02
Sb 0.0000 0.5000 0.5000  4 Br 2.99, 4 Si 3.02, 2 Sb 3.19
Br 0.5000 0.0000 0.5000  4 Sb 2.99, 4 Si 3.02, 2 Br 3.19

#c
First-principles (PBEsol) data for a geometry-optimized Si2SbBr structure, as listed in Alexandria via LeMat-Bulk.

Output
- Crystal system: trigonal

a = 3.8063 Å, b = 3.8063 Å, c = 22.5542 Å
α = 90.00°, β = 90.00°, γ = 120.00°
Closest atoms and distances in Å follow each position.
Space group R3m (No. 160, hexagonal axes)
Inequivalent atoms, fractional coordinates:
Si 0.0000 0.0000 0.0000  3 Si 2.49, 3 Br 2.77
Si 0.0000 0.0000 0.2818  3 Si 2.49, 3 Sb 2.70
Sb 0.0000 0.0000 0.5458  3 Si 2.70
Br 0.0000 0.0000 0.7413  3 Si 2.77

Unit: eV/atom. Relative energies: #a 0.193; #b 0.465; #c 0.000.

#a
First-principles (PBEsol) data for a geometry-optimized SrSbBr2 structure, as listed in Alexandria via LeMat-Bulk.

Output
- Crystal system: monoclinic

a = 11.4051 Å, b = 3.7463 Å, c = 5.8985 Å
α = 90.00°, β = 96.11°, γ = 90.00°
Closest atoms and distances in Å follow each position.
Space group C2/m (No. 12)
Inequivalent atoms, fractional coordinates:
Sr 0.0000 0.0000 0.0000  4 Br 3.06
Sb 0.0000 0.5000 0.5000  2 Br 2.82
Br 0.1888 0.5000 0.2276  1 Sb 2.82, 2 Sr 3.06

#b
First-principles (PBEsol) data for a geometry-optimized SrSbBr2 structure, as listed in Alexandria via LeMat-Bulk.

Output
- Crystal system: tetragonal

a = 3.5423 Å, b = 3.5423 Å, c = 11.0131 Å
α = 90.00°, β = 90.00°, γ = 90.00°
Closest atoms and distances in Å follow each position.
Space group P4/mmm (No. 123)
Inequivalent atoms, fractional coordinates:
Sr 0.0000 0.0000 0.0000  8 Br 3.07
Sb 0.0000 0.0000 0.5000  4 Sb 3.54
Br 0.5000 0.5000 0.1619  4 Sr 3.07

#c
First-principles (PBEsol) data for a geometry-optimized SrSbBr2 structure, as listed in Alexandria via LeMat-Bulk.

Output
- Crystal system: tetragonal

a = 4.9933 Å, b = 4.9933 Å, c = 4.4367 Å
α = 90.00°, β = 90.00°, γ = 90.00°
Closest atoms and distances in Å follow each position.
Space group P4/mmm (No. 123)
Inequivalent atoms, fractional coordinates:
Sr 0.0000 0.0000 0.0000  8 Br 3.34, 4 Sb 3.53
Sb 0.5000 0.5000 0.0000  8 Br 3.34, 4 Sr 3.53
Br 0.0000 0.5000 0.5000  4 Sb 3.34, 4 Sr 3.34, 4 Br 3.53

#d
First-principles (PBEsol) data for a geometry-optimized SrSbBr2 structure, as listed in Alexandria via LeMat-Bulk.

Output
- Crystal system: orthorhombic

a = 3.6676 Å, b = 6.2887 Å, c = 9.9929 Å
α = 90.00°, β = 90.00°, γ = 90.00°
Closest atoms and distances in Å follow each position.
Space group Immm (No. 71)
Inequivalent atoms, fractional coordinates:
Sr 0.0000 0.0000 0.0000  4 Br 3.07
Sb 0.0000 0.0000 0.5000  4 Br 3.13
Br 0.0000 0.5000 0.2534  2 Sr 3.07, 2 Sb 3.13

Unit: eV/atom. Relative energies: #a 0.000; #b 0.058; #c 0.175; #d 0.119.